No. 1
# FeHN2 PBE relaxed
data_FeHN2
_cell_length_a 3.330
_cell_length_b 3.330
_cell_length_c 3.330
_cell_angle_alpha 60.00
_cell_angle_beta 60.00
_cell_angle_gamma 60.00
_space_group_name_H-M_alt 'P 1'
_space_group_IT_number 1
_space_group_name_Hall 'P 1'
loop_
_atom_site_label
_atom_site_type_symbol
_atom_site_fract_x
_atom_site_fract_y
_atom_site_fract_z
_atom_site_occupancy
Fe1 Fe 0.000 0.000 0.000 1
H1 H 0.500 0.500 0.500 1
N1 N 0.250 0.250 0.250 1
N2 N 0.750 0.750 0.750 1
# Energy above the most stable polymorph in this dataset (meV/atom): 1043
# Density of states at the Fermi level (states/eV per cell): 2.7
# Calculated density (g/cm³): 5.4


No. 2
# FeHN2 PBE relaxed
data_FeHN2
_cell_length_a 4.893
_cell_length_b 4.893
_cell_length_c 4.893
_cell_angle_alpha 131.04
_cell_angle_beta 131.04
_cell_angle_gamma 71.75
_space_group_name_H-M_alt 'P 1'
_space_group_IT_number 1
_space_group_name_Hall 'P 1'
loop_
_atom_site_label
_atom_site_type_symbol
_atom_site_fract_x
_atom_site_fract_y
_atom_site_fract_z
_atom_site_occupancy
Fe1 Fe 0.000 0.000 0.000 1
Fe2 Fe 0.750 0.250 0.500 1
H1 H 0.250 0.750 0.500 1
H2 H 0.500 0.500 0.000 1
N1 N 0.128 0.625 0.003 1
N2 N 0.375 0.378 0.503 1
N3 N 0.622 0.125 0.997 1
N4 N 0.875 0.872 0.497 1
# Energy above the most stable polymorph in this dataset (meV/atom): 397
# Density of states at the Fermi level (states/eV per cell): 3.9
# Calculated density (g/cm³): 4.3


No. 3
# Fe6H3N PBE relaxed
data_Fe6H3N
_cell_length_a 4.632
_cell_length_b 5.038
_cell_length_c 8.332
_cell_angle_alpha 90.00
_cell_angle_beta 123.21
_cell_angle_gamma 90.00
_space_group_name_H-M_alt 'P 1'
_space_group_IT_number 1
_space_group_name_Hall 'P 1'
loop_
_atom_site_label
_atom_site_type_symbol
_atom_site_fract_x
_atom_site_fract_y
_atom_site_fract_z
_atom_site_occupancy
Fe1 Fe 0.091 0.171 0.425 1
Fe2 Fe 0.091 0.329 0.925 1
Fe3 Fe 0.274 0.683 0.434 1
Fe4 Fe 0.274 0.817 0.934 1
Fe5 Fe 0.407 0.042 0.251 1
Fe6 Fe 0.407 0.458 0.751 1
Fe7 Fe 0.593 0.542 0.249 1
Fe8 Fe 0.593 0.958 0.749 1
Fe9 Fe 0.726 0.183 0.066 1
Fe10 Fe 0.726 0.317 0.566 1
Fe11 Fe 0.909 0.671 0.075 1
Fe12 Fe 0.909 0.829 0.575 1
H1 H 0.342 0.123 0.829 1
H2 H 0.342 0.377 0.329 1
H3 H 0.500 0.000 0.500 1
H4 H 0.500 0.500 0.000 1
H5 H 0.658 0.623 0.671 1
H6 H 0.658 0.877 0.171 1
N1 N 0.000 0.000 0.000 1
N2 N 0.000 0.500 0.500 1
# Density of states at the Fermi level (states/eV per cell): 9.9
# Calculated density (g/cm³): 7.2
# Final energy (eV/atom): -6.889


No. 4
# Fe2HN PBE relaxed
data_Fe2HN
_cell_length_a 3.441
_cell_length_b 3.441
_cell_length_c 3.441
_cell_angle_alpha 60.00
_cell_angle_beta 60.00
_cell_angle_gamma 60.00
_space_group_name_H-M_alt 'P 1'
_space_group_IT_number 1
_space_group_name_Hall 'P 1'
loop_
_atom_site_label
_atom_site_type_symbol
_atom_site_fract_x
_atom_site_fract_y
_atom_site_fract_z
_atom_site_occupancy
Fe1 Fe 0.250 0.250 0.250 1
Fe2 Fe 0.750 0.750 0.750 1
H1 H 0.000 0.000 0.000 1
N1 N 0.500 0.500 0.500 1
# Energy above the most stable polymorph in this dataset (meV/atom): 512
# Density of states at the Fermi level (states/eV per cell): 4.3
# Calculated density (g/cm³): 7.3


No. 5
# Fe2HN PBE relaxed
data_Fe2HN
_cell_length_a 4.826
_cell_length_b 4.826
_cell_length_c 4.826
_cell_angle_alpha 33.02
_cell_angle_beta 33.02
_cell_angle_gamma 33.02
_space_group_name_H-M_alt 'P 1'
_space_group_IT_number 1
_space_group_name_Hall 'P 1'
loop_
_atom_site_label
_atom_site_type_symbol
_atom_site_fract_x
_atom_site_fract_y
_atom_site_fract_z
_atom_site_occupancy
Fe1 Fe 0.246 0.246 0.246 1
Fe2 Fe 0.754 0.754 0.754 1
H1 H 0.500 0.500 0.500 1
N1 N 0.000 0.000 0.000 1
# Energy above the most stable polymorph in this dataset (meV/atom): 0
# Density of states at the Fermi level (states/eV per cell): 2.5
# Calculated density (g/cm³): 7.1


No. 6
# Fe2HN PBE relaxed
data_Fe2HN
_cell_length_a 5.001
_cell_length_b 5.001
_cell_length_c 5.001
_cell_angle_alpha 132.12
_cell_angle_beta 132.12
_cell_angle_gamma 70.04
_space_group_name_H-M_alt 'P 1'
_space_group_IT_number 1
_space_group_name_Hall 'P 1'
loop_
_atom_site_label
_atom_site_type_symbol
_atom_site_fract_x
_atom_site_fract_y
_atom_site_fract_z
_atom_site_occupancy
Fe1 Fe 0.116 0.625 0.991 1
Fe2 Fe 0.375 0.366 0.491 1
Fe3 Fe 0.634 0.125 0.009 1
Fe4 Fe 0.875 0.884 0.509 1
H1 H 0.000 0.000 0.000 1
H2 H 0.750 0.250 0.500 1
N1 N 0.250 0.750 0.500 1
N2 N 0.500 0.500 0.000 1
# Energy above the most stable polymorph in this dataset (meV/atom): 26
# Density of states at the Fermi level (states/eV per cell): 13.2
# Calculated density (g/cm³): 6.2